1.
Material: Sm8Rh3AuI4
Method: DFT, PBE
State: optimized geometry

a = 8.384 Å, b = 9.375 Å, c = 8.381 Å
α = 116.51°, β = 120.01°, γ = 90.00°
Atoms (fractional coordinates):
Sm1 0.764 0.315 0.529
I1 0.500 0.000 0.000
Sm2 0.729 0.687 0.458
Sm3 0.714 0.685 0.950
I2 0.000 0.000 0.500
Sm4 0.764 0.315 0.050
Rh1 0.500 0.500 0.000
I3 0.000 0.000 0.000
Sm5 0.271 0.313 0.542
Rh2 0.000 0.500 0.500
Au1 0.000 0.500 0.000
I4 0.500 0.000 0.500
Sm6 0.236 0.685 0.950
Sm7 0.286 0.315 0.050
Rh3 0.500 0.500 0.500
Sm8 0.236 0.685 0.471

Computed properties:
Crystal system: monoclinic



2.
Material: Tb4Sm5Sc
Method: DFT, PBE
State: optimized geometry

a = 5.920 Å, b = 8.023 Å, c = 8.023 Å
α = 82.18°, β = 68.35°, γ = 68.35°
Atoms (fractional coordinates):
Tb1 0.442 0.324 0.677
Sm1 0.151 0.628 0.000
Tb2 0.118 0.323 0.324
Sc1 0.209 0.000 0.000
Sm2 0.779 0.372 0.000
Tb3 0.766 0.677 0.676
Sm3 0.673 0.000 0.000
Sm4 0.152 0.000 0.628
Tb4 0.442 0.676 0.323
Sm5 0.779 0.000 0.372

Computed properties:
Formation enthalpy at 0 K: 230 meV/atom
Polymorph energy (0 for the lowest one): 57 meV/atom
Crystal system: tetragonal



3.
Material: NaTlGe
Method: DFT, PBE
State: optimized geometry

a = 7.787 Å, b = 4.111 Å, c = 9.845 Å
α = 90.00°, β = 90.00°, γ = 90.00°
Atoms (fractional coordinates):
Tl1 0.591 0.750 0.244
Na1 0.165 0.750 0.581
Tl2 0.091 0.750 0.256
Na2 0.665 0.750 0.919
Tl3 0.409 0.250 0.756
Ge1 0.912 0.250 0.055
Ge2 0.088 0.750 0.945
Tl4 0.909 0.250 0.744
Na3 0.335 0.250 0.081
Na4 0.835 0.250 0.419
Ge3 0.412 0.250 0.445
Ge4 0.588 0.750 0.555

Computed properties:
Formation enthalpy at 0 K: 14 meV/atom
Crystal system: orthorhombic



4.
Material: Pu2P2Pd
Method: DFT, PBE
State: optimized geometry

a = 5.553 Å, b = 8.188 Å, c = 9.279 Å
α = 90.00°, β = 90.00°, γ = 90.00°
Atoms (fractional coordinates):
Pu1 0.250 0.358 0.442
Pu2 0.750 0.642 0.558
Pu3 0.750 0.020 0.359
Pu4 0.250 0.980 0.641
P1 0.750 0.967 0.666
P2 0.750 0.467 0.834
P3 0.250 0.648 0.607
Pd1 0.750 0.765 0.861
Pd2 0.250 0.235 0.139
P4 0.750 0.852 0.107
Pd3 0.750 0.265 0.639
Pu5 0.250 0.480 0.859
Pu6 0.750 0.520 0.141
Pu7 0.750 0.142 0.942
P5 0.250 0.148 0.893
Pu8 0.250 0.858 0.058
P6 0.250 0.033 0.334
Pd4 0.250 0.735 0.361
P7 0.750 0.352 0.393
P8 0.250 0.533 0.166

Computed properties:
Formation enthalpy at 0 K: -896 meV/atom
Polymorph energy (0 for the lowest one): 0 meV/atom
Crystal system: orthorhombic



Fermi-level density of states readings, ordered: 8.7 13.3 4.4 68.2 states/eV/cell
Total moment readings, ordered: 0.0 0.0 0.0 40.0 μB/cell
Raw total energy readings, ordered: -5.25 -4.61 -2.75 -9.83 eV/atom